[1]
Density functional theory data (PBE-GGA) for a geometry-optimized Th2CoGe3Ir4 structure.

Lattice parameters (Å, degrees): 4.2196 4.2196 10.2940 90.00 90.00 90.00
Last column: nearest neighbours and their distance in Å.
Positions (direct):
Th 0.5000 0.0000 0.2579  8 Ir 3.20-3.39, 6 Ge 3.25-3.27, 2 Co 3.27
Th 0.0000 0.5000 0.7421  8 Ir 3.20-3.39, 6 Ge 3.25-3.27, 2 Co 3.27
Co 0.5000 0.5000 0.5000  4 Ir 2.50
Ge 0.0000 0.0000 0.5000  4 Ir 2.50
Ge 0.5000 0.0000 0.8675  5 Ir 2.45-2.51
Ge 0.0000 0.5000 0.1325  5 Ir 2.45-2.51
Ir 0.5000 0.5000 0.0000  4 Ge 2.51
Ir 0.0000 0.0000 0.0000  4 Ge 2.51
Ir 0.5000 0.0000 0.6296  3 Ge 2.45-2.50, 2 Co 2.50
Ir 0.0000 0.5000 0.3704  3 Ge 2.45-2.50, 2 Co 2.50

Total DFT energy (no corrections): -7.838 eV/atom

=====

[2]
Density functional theory data (PBE-GGA) for a geometry-optimized TiCoGeIr structure.

Lattice parameters (Å, degrees): 3.9000 3.9001 4.5202 115.57 115.56 90.00
Last column: nearest neighbours and their distance in Å.
Positions (direct):
Ti 0.0000 0.0000 0.0000  4 Co 2.65, 4 Ir 2.65, 4 Ge 2.76
Co 0.2500 0.7500 0.5000  4 Ti 2.65, 4 Ge 2.65, 4 Ir 2.76
Ge 0.5000 0.5000 0.0000  4 Co 2.65, 4 Ir 2.65, 4 Ti 2.76
Ir 0.7500 0.2500 0.5000  4 Ge 2.65, 4 Ti 2.65, 4 Co 2.76

Total DFT energy (no corrections): -7.677 eV/atom

=====

[3]
Density functional theory data (PBE-GGA) for a geometry-optimized U2Co3Ge4Ir structure.

Lattice parameters (Å, degrees): 4.0456 4.0456 9.7831 90.00 90.00 90.00
Last column: nearest neighbours and their distance in Å.
Positions (direct):
U 0.5000 0.0000 0.2445  8 Ge 3.07-3.13, 6 Co 3.09-3.22, 2 Ir 3.22
U 0.0000 0.5000 0.7555  8 Ge 3.07-3.13, 6 Co 3.09-3.22, 2 Ir 3.22
Co 0.0000 0.0000 0.5000  4 Ge 2.45
Co 0.5000 0.0000 0.8741  5 Ge 2.28-2.37
Co 0.0000 0.5000 0.1259  5 Ge 2.28-2.37
Ge 0.5000 0.5000 0.0000  4 Co 2.37
Ge 0.0000 0.0000 0.0000  4 Co 2.37
Ge 0.5000 0.0000 0.6413  3 Co 2.28-2.45, 2 Ir 2.45
Ge 0.0000 0.5000 0.3587  3 Co 2.28-2.45, 2 Ir 2.45
Ir 0.5000 0.5000 0.5000  4 Ge 2.45

Total DFT energy (no corrections): -7.511 eV/atom

=====

[4]
Density functional theory data (PBE-GGA) for a geometry-optimized YCoGe2Ir structure.

Lattice parameters (Å, degrees): 4.0569 4.0569 5.9130 110.06 110.06 90.00
Last column: nearest neighbours and their distance in Å.
Positions (direct):
Y 0.0000 0.0000 0.0000  8 Ge 3.14, 4 Co 3.29, 4 Ir 3.29
Co 0.2500 0.7500 0.5000  4 Ge 2.42
Ge 0.6230 0.6230 0.2459  2 Ir 2.42, 2 Co 2.42, 1 Ge 2.54
Ge 0.3770 0.3770 0.7541  2 Co 2.42, 2 Ir 2.42, 1 Ge 2.54
Ir 0.7500 0.2500 0.5000  4 Ge 2.42

Total DFT energy (no corrections): -7.010 eV/atom

=====

[5]
Density functional theory data (PBE-GGA) for a geometry-optimized Y2CoGe4Ir3 structure.

Lattice parameters (Å, degrees): 4.1733 4.1733 10.1929 90.00 90.00 90.00
Last column: nearest neighbours and their distance in Å.
Positions (direct):
Y 0.5000 0.0000 0.2513  6 Ir 3.19-3.28, 8 Ge 3.20-3.30, 2 Co 3.28
Y 0.0000 0.5000 0.7487  6 Ir 3.19-3.28, 8 Ge 3.20-3.30, 2 Co 3.28
Co 0.5000 0.5000 0.5000  4 Ge 2.46
Ge 0.5000 0.5000 0.0000  4 Ir 2.49
Ge 0.0000 0.0000 0.0000  4 Ir 2.49
Ge 0.5000 0.0000 0.6276  3 Ir 2.44-2.46, 2 Co 2.46
Ge 0.0000 0.5000 0.3724  3 Ir 2.44-2.46, 2 Co 2.46
Ir 0.0000 0.0000 0.5000  4 Ge 2.46
Ir 0.5000 0.0000 0.8672  5 Ge 2.44-2.49
Ir 0.0000 0.5000 0.1328  5 Ge 2.44-2.49

Total DFT energy (no corrections): -7.203 eV/atom

=====

[6]
Density functional theory data (PBE-GGA) for a geometry-optimized Y2CoGe3Ir4 structure.

Lattice parameters (Å, degrees): 4.1477 4.1477 10.2963 90.00 90.00 90.00
Last column: nearest neighbours and their distance in Å.
Positions (direct):
Y 0.5000 0.0000 0.2516  8 Ir 3.17-3.32, 6 Ge 3.17-3.29, 2 Co 3.29
Y 0.0000 0.5000 0.7484  8 Ir 3.17-3.32, 6 Ge 3.17-3.29, 2 Co 3.29
Co 0.5000 0.5000 0.5000  4 Ir 2.47
Ge 0.0000 0.0000 0.5000  4 Ir 2.47
Ge 0.5000 0.0000 0.8662  5 Ir 2.42-2.49
Ge 0.0000 0.5000 0.1338  5 Ir 2.42-2.49
Ir 0.5000 0.5000 0.0000  4 Ge 2.49
Ir 0.0000 0.0000 0.0000  4 Ge 2.49
Ir 0.5000 0.0000 0.6308  3 Ge 2.42-2.47, 2 Co 2.47
Ir 0.0000 0.5000 0.3692  3 Ge 2.42-2.47, 2 Co 2.47

Total DFT energy (no corrections): -7.603 eV/atom